No. 1
DFT (PBE-GGA) results for a relaxed La2NiSn6 crystal.

Output
- E (eV per atom) = -4.949
- size of the total moment (μB per formula unit) = 0.00

Cell lengths 4.522, 12.146, 12.146 Å; angles 21.38, 90.00, 90.00 degrees
Fractional positions:
La (0.000, 0.000, 0.000)
La (0.000, 0.337, 0.337)
Ni (0.500, 0.558, 0.558)
Sn (0.000, 0.611, 0.611)
Sn (0.000, 0.732, 0.732)
Sn (0.500, 0.111, 0.111)
Sn (0.500, 0.233, 0.233)
Sn (0.500, 0.453, 0.453)
Sn (0.500, 0.875, 0.875)


No. 2
DFT (PBE-GGA) results for a relaxed LaNi2Sn2 crystal.

Output
- E (eV per atom) = -5.151
- size of the total moment (μB per formula unit) = 0.00

Cell lengths 7.818, 7.818, 3.297 Å; angles 90.00, 90.00, 90.00 degrees
Fractional positions:
La (0.000, 0.000, 0.000)
La (0.500, 0.500, 0.000)
Ni (0.117, 0.383, 0.000)
Ni (0.383, 0.883, 0.000)
Ni (0.617, 0.117, 0.000)
Ni (0.883, 0.617, 0.000)
Sn (0.159, 0.659, 0.500)
Sn (0.341, 0.159, 0.500)
Sn (0.659, 0.841, 0.500)
Sn (0.841, 0.341, 0.500)


No. 3
DFT (PBE-GGA) results for a relaxed La2NiSn3 crystal.

Output
- E (eV per atom) = -5.233
- size of the total moment (μB per formula unit) = 0.00

Cell lengths 4.438, 4.650, 7.946 Å; angles 90.00, 90.00, 90.00 degrees
Fractional positions:
La (0.000, 0.000, 0.000)
La (0.000, 0.500, 0.483)
Ni (0.500, 0.000, 0.293)
Sn (0.500, 0.000, 0.610)
Sn (0.500, 0.500, 0.178)
Sn (0.500, 0.500, 0.820)


No. 4
DFT (PBE-GGA) results for a relaxed La3Ni3Sn4 crystal.

Output
- E (eV per atom) = -5.413
- size of the total moment (μB per formula unit) = 0.00

Cell lengths 8.501, 8.501, 8.501 Å; angles 109.47, 109.47, 109.47 degrees
Fractional positions:
La (0.125, 0.750, 0.875)
La (0.250, 0.625, 0.375)
La (0.375, 0.250, 0.625)
La (0.625, 0.375, 0.250)
La (0.750, 0.875, 0.125)
La (0.875, 0.125, 0.750)
Ni (0.125, 0.875, 0.250)
Ni (0.250, 0.125, 0.875)
Ni (0.375, 0.625, 0.750)
Ni (0.625, 0.750, 0.375)
Ni (0.750, 0.375, 0.625)
Ni (0.875, 0.250, 0.125)
Sn (0.000, 0.349, 0.500)
Sn (0.000, 0.849, 0.500)
Sn (0.151, 0.151, 0.151)
Sn (0.349, 0.500, 0.000)
Sn (0.500, 0.000, 0.349)
Sn (0.500, 0.000, 0.849)
Sn (0.651, 0.651, 0.651)
Sn (0.849, 0.500, 0.000)